[1]
A plane-wave DFT calculation with GGA-PBE was carried out for Y3TeSe2 after structural relaxation.

Geometry as POSCAR:
```
Y3TeSe2
1.0
4.182 0.000 0.000
0.000 5.921 0.000
0.000 0.000 12.562
Y Te Se
6 2 4
direct
0.000 0.000 0.000
0.000 0.000 0.317
0.000 0.000 0.683
0.500 0.500 0.183
0.500 0.500 0.500
0.500 0.500 0.817
0.000 0.500 0.000
0.500 0.000 0.500
0.000 0.500 0.339
0.000 0.500 0.661
0.500 0.000 0.161
0.500 0.000 0.839
```

Output
Size of the total moment ... 0.000 μB/atom
E above lowest polymorph ... 0.0 meV/atom
Total DFT energy (no corrections) ... -78.1 eV per cell



[2]
A plane-wave DFT calculation with GGA-PBE was carried out for Y2TeSe after structural relaxation.

Geometry as POSCAR:
```
Y2TeSe
1.0
3.935 0.000 0.000
0.000 3.966 0.000
0.000 0.000 13.909
Y Te Se
4 2 2
direct
0.000 0.000 0.000
0.000 0.500 0.233
0.500 0.000 0.733
0.500 0.500 0.500
0.000 0.500 0.829
0.500 0.000 0.329
0.000 0.000 0.576
0.500 0.500 0.076
```

Output
Size of the total moment ... 0.342 μB/atom
E above lowest polymorph ... 105.3 meV/atom
Total DFT energy (no corrections) ... -51.0 eV per cell



[3]
A plane-wave DFT calculation with GGA-PBE was carried out for Y2Te2Se after structural relaxation.

Geometry as POSCAR:
```
Y2Te2Se
1.0
6.652 -4.097 0.000
6.652 4.097 0.000
-3.201 0.000 5.698
Y Te Se
4 4 2
direct
0.141 0.654 0.898
0.346 0.859 0.602
0.654 0.141 0.398
0.859 0.346 0.102
0.228 0.478 0.352
0.478 0.228 0.852
0.522 0.772 0.148
0.772 0.522 0.648
0.000 0.000 0.250
0.000 0.000 0.750
```

Output
Size of the total moment ... 0.000 μB/atom
E above lowest polymorph ... 0.0 meV/atom
Total DFT energy (no corrections) ... -60.4 eV per cell



[4]
A plane-wave DFT calculation with GGA-PBE was carried out for Y3Te2Se after structural relaxation.

Geometry as POSCAR:
```
Y3Te2Se
1.0
3.695 -6.403 0.000
3.695 6.403 0.000
-2.460 0.000 7.022
Y Te Se
6 4 2
direct
0.070 0.423 0.775
0.216 0.216 0.215
0.423 0.070 0.775
0.577 0.930 0.225
0.784 0.784 0.785
0.930 0.577 0.225
0.000 0.000 0.500
0.342 0.658 0.500
0.500 0.500 0.000
0.658 0.342 0.500
0.169 0.831 0.000
0.831 0.169 0.000
```

Output
Size of the total moment ... 0.000 μB/atom
E above lowest polymorph ... 0.0 meV/atom
Total DFT energy (no corrections) ... -76.0 eV per cell



[5]
A plane-wave DFT calculation with GGA-PBE was carried out for YTe2Se2 after structural relaxation.

Geometry as POSCAR:
```
YTe2Se2
1.0
7.595 0.000 0.000
0.000 7.595 0.000
0.000 0.000 4.698
Y Te Se
2 4 4
direct
0.000 0.000 0.000
0.500 0.500 0.000
0.162 0.338 0.500
0.338 0.838 0.500
0.662 0.162 0.500
0.838 0.662 0.500
0.164 0.664 0.000
0.336 0.164 0.000
0.664 0.836 0.000
0.836 0.336 0.000
```

Output
Size of the total moment ... 0.000 μB/atom
Total DFT energy (no corrections) ... -44.5 eV per cell



[6]
A plane-wave DFT calculation with GGA-PBE was carried out for Y4TeSe3 after structural relaxation.

Geometry as POSCAR:
```
Y4TeSe3
1.0
5.894 0.000 0.000
0.000 5.894 0.000
0.000 0.000 5.894
Y Te Se
4 1 3
direct
0.000 0.000 0.000
0.000 0.500 0.500
0.500 0.000 0.500
0.500 0.500 0.000
0.500 0.500 0.500
0.000 0.000 0.500
0.000 0.500 0.000
0.500 0.000 0.000
```

Output
Size of the total moment ... 0.000 μB/atom
E above lowest polymorph ... 79.4 meV/atom
Total DFT energy (no corrections) ... -52.2 eV per cell